This record from the Alexandria database describes crystalline PaMnAlGa at its relaxed geometry. The functional is PBE.

abc: 4.6530 4.6530 4.6530
angles: 60.00 60.00 60.00
Fractional positions:
Pa: 0.0000 0.0000 0.0000
Mn: 0.2500 0.2500 0.2500
Al: 0.5000 0.5000 0.5000
Ga: 0.7500 0.7500 0.7500

Values from the calculation:
As for the total magnetization: 1.6 Bohr magnetons per cell. Its symmetry is F-43m. Its formation energy is -0.754 kcal/mol of atoms.